## BaInPb4 (PBE-GGA)

Data for BaInPb4 after structural relaxation.

Computed properties:
* energy relative to the elements: -170 meV/atom
* energy above the most stable polymorph in this dataset: 20 meV per atom
* total magnetic moment: 0.00 μB/f.u.
* N(E_F): 0.556 states/eV per atom

a b c (Å): 6.3396 6.9664 6.2200
angles (deg): 55.94 75.68 63.79
Closest atoms and distances in Å follow each position.
Sites, in units of the cell vectors:
Ba (0.5000, 0.5000, 0.0000)  2 In 3.53, 10 Pb 3.59-3.82
In (0.0000, 0.0000, 0.0000)  2 Pb 3.07
Pb (0.0000, 0.2981, 0.4038)  1 In 3.07
Pb (0.5000, 0.1520, 0.6961)  1 Pb 3.13
Pb (0.0000, 0.7019, 0.5962)  1 In 3.07
Pb (0.5000, 0.8480, 0.3039)  1 Pb 3.13

## BaIn4Pb2 (PBE-GGA)

Data for BaIn4Pb2 after structural relaxation.

Computed properties:
* energy relative to the elements: -144 meV/atom
* total magnetic moment: 0.00 μB/f.u.
* N(E_F): 0.511 states/eV per atom

a b c (Å): 4.7931 4.8368 10.4737
angles (deg): 103.35 103.23 90.00
Closest atoms and distances in Å follow each position.
Sites, in units of the cell vectors:
Pb (0.8202, 0.8202, 0.6404)  7 In 3.12-3.42
Pb (0.1798, 0.1798, 0.3596)  7 In 3.12-3.42
Ba (0.5000, 0.0000, 0.0000)  12 In 3.71-4.03
In (0.6629, 0.6629, 0.3258)  2 In 2.96, 1 Pb 3.12
In (0.3371, 0.3371, 0.6742)  2 In 2.96, 1 Pb 3.12
In (0.0750, 0.5750, 0.1499)  3 In 2.96-2.97, 2 Pb 3.19
In (0.9250, 0.4250, 0.8501)  3 In 2.96-2.97, 2 Pb 3.19

## Ba3In3Pb8 (PBE-GGA)

Data for Ba3In3Pb8 after structural relaxation.

Computed properties:
* energy relative to the elements: -303 meV/atom
* total magnetic moment: 0.00 μB/f.u.
* N(E_F): 0.458 states/eV per atom

a b c (Å): 5.4909 9.8515 9.8515
angles (deg): 75.65 73.82 73.82
Closest atoms and distances in Å follow each position.
Sites, in units of the cell vectors:
Ba (0.5000, 0.5000, 0.5000)  12 Pb 3.82-3.99
Ba (0.7986, 0.2014, 0.2014)  2 In 3.55, 8 Pb 3.91-3.92
Ba (0.2014, 0.7986, 0.7986)  2 In 3.55, 8 Pb 3.91-3.92
In (0.5000, 0.0000, 0.0000)  4 Pb 3.38, 4 In 3.40
In (0.0000, 0.8341, 0.1659)  6 Pb 3.17-3.51, 2 In 3.40, 2 Ba 3.55
In (0.0000, 0.1659, 0.8341)  6 Pb 3.17-3.51, 2 In 3.40, 2 Ba 3.55
Pb (0.6440, 0.0754, 0.6367)  3 Pb 3.26, 3 In 3.38-3.51
Pb (0.3560, 0.9246, 0.3633)  3 Pb 3.26, 3 In 3.38-3.51
Pb (0.6440, 0.6367, 0.0754)  3 Pb 3.26, 3 In 3.38-3.51
Pb (0.3560, 0.3633, 0.9246)  3 Pb 3.26, 3 In 3.38-3.51
Pb (0.8571, 0.7787, 0.5071)  1 In 3.17, 4 Pb 3.26-3.28
Pb (0.1429, 0.2213, 0.4929)  1 In 3.17, 4 Pb 3.26-3.28
Pb (0.8571, 0.5071, 0.7787)  1 In 3.17, 4 Pb 3.26-3.28
Pb (0.1429, 0.4929, 0.2213)  1 In 3.17, 4 Pb 3.26-3.28

## Ba2InPb2 (PBE-GGA)

Data for Ba2InPb2 after structural relaxation.

Computed properties:
* energy relative to the elements: -166 meV/atom
* energy above the most stable polymorph in this dataset: 347 meV per atom
* total magnetic moment: 0.00 μB/f.u.
* N(E_F): 0.941 states/eV per atom

a b c (Å): 10.4301 10.4301 3.7411
angles (deg): 90.00 90.00 90.00
Closest atoms and distances in Å follow each position.
Sites, in units of the cell vectors:
Pb (0.1716, 0.6716, 0.5000)  6 Ba 3.48-3.68, 2 Pb 3.74
Pb (0.6716, 0.8284, 0.5000)  6 Ba 3.48-3.68, 2 Pb 3.74
Pb (0.8284, 0.3284, 0.5000)  6 Ba 3.48-3.68, 2 Pb 3.74
Pb (0.3284, 0.1716, 0.5000)  6 Ba 3.48-3.68, 2 Pb 3.74
Ba (0.3704, 0.8704, 0.0000)  6 Pb 3.48-3.68, 3 Ba 3.74-3.82
Ba (0.8704, 0.6296, 0.0000)  6 Pb 3.48-3.68, 3 Ba 3.74-3.82
Ba (0.6296, 0.1296, 0.0000)  6 Pb 3.48-3.68, 3 Ba 3.74-3.82
Ba (0.1296, 0.3704, 0.0000)  6 Pb 3.48-3.68, 3 Ba 3.74-3.82
In (0.0000, 0.0000, 0.0000)  2 In 3.74, 4 Ba 4.09
In (0.5000, 0.5000, 0.0000)  2 In 3.74, 4 Ba 4.09

Q: What is the formula in the fourth record?
A: Ba2InPb2

Q: Among the records above, which one has the lowest N(E_F)?
A: Ba3In3Pb8

Q: What is the N(E_F) in the second record?
A: 0.511 states/eV per atom

Q: Among the records above, which one has the lowest N(E_F)?
A: Ba3In3Pb8